FePW2, relaxed, DFT PBE; DFT total energy = -0.6874 Ry per atom; spin magnetization = 4.00 μB/cell
1.0
-1.8525 1.8525 8.9542
1.8525 -1.8525 8.9542
1.8525 1.8525 -8.9542
Fe P W
2 2 4
Direct
0.0000 0.0000 0.0000
0.7500 0.2500 0.5000
0.2500 0.7500 0.5000
0.5000 0.5000 0.0000
0.1311 0.6250 0.0061
0.3750 0.3811 0.5061
0.6189 0.1250 0.9939
0.8750 0.8689 0.4939

***

FeP2W, relaxed, DFT PBE; DFT total energy = -0.5931 Ry per atom; spin magnetization = 0.27 μB/cell
1.0
3.0300 0.0000 0.0000
0.0000 3.4075 0.0000
0.0000 0.0000 5.1387
Fe P W
1 2 1
Direct
0.0000 0.0000 0.0000
0.0000 0.5000 0.2573
0.0000 0.5000 0.7427
0.5000 0.0000 0.5000

***

Fe2P2W, relaxed, DFT PBE; energy above the most stable polymorph in this dataset = 0.43 eV per formula unit; DFT total energy = -0.6078 Ry per atom; spin magnetization = 0.00 μB/cell
1.0
-1.8191 1.8191 4.5156
1.8191 -1.8191 4.5156
1.8191 1.8191 -4.5156
Fe P W
2 2 1
Direct
0.2500 0.7500 0.5000
0.7500 0.2500 0.5000
0.1195 0.1195 0.0000
0.8805 0.8805 0.0000
0.5000 0.5000 0.0000

***

FePW2, relaxed, DFT PBE; DFT total energy = -0.7152 Ry per atom; spin magnetization = 1.32 μB/cell
1.0
1.3955 0.8057 8.3199
-1.3955 0.8057 8.3199
0.0000 -1.6114 8.3199
Fe P W
1 1 2
Direct
0.0000 0.0000 0.0000
0.7330 0.7330 0.7330
0.2475 0.2475 0.2475
0.4833 0.4833 0.4833

***

The ΔH_f (0 K) results, record by record, are as follows: 0.59; -0.01; -0.13; 0.21 eV per atom.
The mass density results, record by record, are as follows: 12.280; 9.441; 9.932; 13.447 g/cm3.